#i
Computed, not measured: a relaxed structure of CaVS2 at the PBE level of DFT.

Structure (extended XYZ):
```
4
Lattice="1.831 1.057 7.972 -1.831 1.057 7.972 0.000 -2.115 7.972" Properties=species:S:1:pos:R:3 pbc="T T T"
Ca 0.000 0.000 0.000
V 0.000 0.000 11.958
S 0.000 0.000 2.706
S 0.000 0.000 21.211
```

Output
M_tot	0.487	μB/atom

#ii
Computed, not measured: a relaxed structure of CaVS2 at the PBE level of DFT.

Structure (extended XYZ):
```
4
Lattice="0.000 3.301 3.301 3.301 0.000 3.301 3.301 3.301 0.000" Properties=species:S:1:pos:R:3 pbc="T T T"
Ca 0.000 0.000 0.000
V 3.301 3.301 3.301
S 1.650 1.650 1.650
S 4.951 4.951 4.951
```

Output
M_tot	0.746	μB/atom

It is #ii that is most stable; the runner-up trails by 7.6 kJ/mol of atoms.

#i
Computed, not measured: a relaxed structure of CaV3S at the PBE level of DFT.

Structure (extended XYZ):
```
5
Lattice="4.470 0.000 0.000 0.000 4.470 0.000 0.000 0.000 4.470" Properties=species:S:1:pos:R:3 pbc="T T T"
Ca 0.000 0.000 0.000
V 0.000 2.235 2.235
V 2.235 0.000 2.235
V 2.235 2.235 0.000
S 2.235 2.235 2.235
```

Output
M_tot	0.666	μB/atom

#ii
Computed, not measured: a relaxed structure of CaV3S at the PBE level of DFT.

Structure (extended XYZ):
```
5
Lattice="4.453 0.000 0.000 0.000 4.453 0.000 0.000 0.000 4.453" Properties=species:S:1:pos:R:3 pbc="T T T"
Ca 0.000 0.000 0.000
V 0.000 0.000 2.227
V 0.000 2.227 0.000
V 2.227 0.000 0.000
S 2.227 2.227 2.227
```

Output
M_tot	0.000	μB/atom

It is #i that is most stable; the runner-up trails by 210.6 kJ/mol of atoms.

#i
Computed, not measured: a relaxed structure of CaWS3 at the PBE level of DFT.

Structure (extended XYZ):
```
5
Lattice="5.055 0.000 0.000 0.000 5.055 0.000 0.000 0.000 5.055" Properties=species:S:1:pos:R:3 pbc="T T T"
Ca 0.000 0.000 0.000
W 2.528 2.528 2.528
S 0.000 0.000 2.528
S 0.000 2.528 0.000
S 2.528 0.000 0.000
```

Output
M_tot	0.400	μB/atom

#ii
Computed, not measured: a relaxed structure of CaWS3 at the PBE level of DFT.

Structure (extended XYZ):
```
5
Lattice="4.729 0.000 0.000 0.000 4.729 0.000 0.000 0.000 4.729" Properties=species:S:1:pos:R:3 pbc="T T T"
Ca 0.000 0.000 0.000
W 2.364 2.364 2.364
S 0.000 2.364 2.364
S 2.364 0.000 2.364
S 2.364 2.364 0.000
```

Output
M_tot	0.000	μB/atom

It is #ii that is most stable; the runner-up trails by 174.2 kJ/mol of atoms.

#i
Computed, not measured: a relaxed structure of CaYS2 at the PBE level of DFT.

Structure (extended XYZ):
```
4
Lattice="2.035 1.175 8.271 -2.035 1.175 8.271 0.000 -2.350 8.271" Properties=species:S:1:pos:R:3 pbc="T T T"
Ca 0.000 0.000 0.000
Y 0.000 0.000 12.406
S 0.000 0.000 2.692
S 0.000 0.000 22.120
```

Output
M_tot	0.000	μB/atom

#ii
Computed, not measured: a relaxed structure of CaYS2 at the PBE level of DFT.

Structure (extended XYZ):
```
8
Lattice="3.915 0.000 0.000 -1.958 3.391 0.000 0.000 0.000 13.422" Properties=species:S:1:pos:R:3 pbc="T T T"
Ca 0.000 2.260 3.355
Ca 1.958 1.130 10.066
Y 0.000 0.000 0.000
Y 0.000 0.000 6.711
S 0.000 2.260 8.321
S 0.000 2.260 11.812
S 1.958 1.130 1.610
S 1.958 1.130 5.101
```

Output
M_tot	0.000	μB/atom

#iii
Computed, not measured: a relaxed structure of CaYS2 at the PBE level of DFT.

Structure (extended XYZ):
```
4
Lattice="3.412 -1.970 0.000 3.412 1.970 0.000 -2.264 0.000 6.565" Properties=species:S:1:pos:R:3 pbc="T T T"
Ca 0.000 0.000 0.000
Y 2.281 0.000 3.283
S 0.009 0.000 4.896
S 4.552 0.000 1.669
```

Output
M_tot	0.000	μB/atom

#iv
Computed, not measured: a relaxed structure of CaYS2 at the PBE level of DFT.

Structure (extended XYZ):
```
8
Lattice="-3.118 3.118 6.173 3.118 -3.118 6.173 3.118 3.118 -6.173" Properties=species:S:1:pos:R:3 pbc="T T T"
Ca 0.000 0.000 0.000
Ca 0.000 3.118 3.087
Y 3.118 0.000 3.087
Y 0.000 0.000 6.173
S 1.559 -1.492 4.630
S 1.626 1.559 1.543
S 1.559 4.610 -1.543
S 1.492 1.559 7.717
```

Output
M_tot	0.000	μB/atom

It is #iii that is most stable; the runner-up trails by 4.3 kJ/mol of atoms.

#i
Computed, not measured: a relaxed structure of CaY3S at the PBE level of DFT.

Structure (extended XYZ):
```
5
Lattice="5.370 0.000 0.000 0.000 5.370 0.000 0.000 0.000 5.370" Properties=species:S:1:pos:R:3 pbc="T T T"
Ca 0.000 0.000 0.000
Y 0.000 2.685 2.685
Y 2.685 0.000 2.685
Y 2.685 2.685 0.000
S 2.685 2.685 2.685
```

Output
M_tot	0.000	μB/atom

#ii
Computed, not measured: a relaxed structure of CaY3S at the PBE level of DFT.

Structure (extended XYZ):
```
5
Lattice="5.547 0.000 0.000 0.000 5.547 0.000 0.000 0.000 5.547" Properties=species:S:1:pos:R:3 pbc="T T T"
Ca 0.000 0.000 0.000
Y 0.000 0.000 2.774
Y 0.000 2.774 0.000
Y 2.774 0.000 0.000
S 2.774 2.774 2.774
```

Output
M_tot	0.000	μB/atom

It is #i that is most stable; the runner-up trails by 165.0 kJ/mol of atoms.

#i
Computed, not measured: a relaxed structure of CaYS3 at the PBE level of DFT.

Structure (extended XYZ):
```
5
Lattice="5.193 0.000 0.000 0.000 5.193 0.000 0.000 0.000 5.193" Properties=species:S:1:pos:R:3 pbc="T T T"
Ca 0.000 0.000 0.000
Y 2.596 2.596 2.596
S 0.000 2.596 2.596
S 2.596 0.000 2.596
S 2.596 2.596 0.000
```

Output
M_tot	0.000	μB/atom

#ii
Computed, not measured: a relaxed structure of CaYS3 at the PBE level of DFT.

Structure (extended XYZ):
```
5
Lattice="5.029 0.000 0.000 0.000 5.029 0.000 0.000 0.000 5.029" Properties=species:S:1:pos:R:3 pbc="T T T"
Ca 0.000 0.000 0.000
Y 2.515 2.515 2.515
S 0.000 0.000 2.515
S 0.000 2.515 0.000
S 2.515 0.000 0.000
```

Output
M_tot	0.000	μB/atom

It is #i that is most stable; the runner-up trails by 51.0 kJ/mol of atoms.